# 1
# Sr2Ca3ReN6, optimized geometry, DFT PBE
data_Sr2Ca3ReN6
_cell_length_a 6.092
_cell_length_b 10.600
_cell_length_c 5.897
_cell_angle_alpha 90.00
_cell_angle_beta 110.30
_cell_angle_gamma 90.00
_symmetry_space_group_name_H-M 'C 1 2/m 1'
_symmetry_Int_Tables_number 12
loop_
_symmetry_equiv_pos_as_xyz
'x,y,z'
'-x,-y,-z'
'-x,y,-z'
'x,-y,z'
'x+1/2,y+1/2,z'
'-x+1/2,-y+1/2,-z'
'-x+1/2,y+1/2,-z'
'x+1/2,-y+1/2,z'
loop_
_atom_site_label
_atom_site_fract_x
_atom_site_fract_y
_atom_site_fract_z
Sr1 0.000 0.168 0.000
Ca1 0.000 0.000 0.500
Ca2 0.000 0.343 0.500
Re1 0.000 0.500 0.000
N1 0.202 0.500 0.783
N2 0.211 0.364 0.226
# E_tot ... -6.5405 eV per atom
# Formation energy without anion corrections ... -6.72 eV per formula unit

=====

# 2
# Sr2CaReN4, optimized geometry, DFT PBE
data_Sr2CaReN4
_cell_length_a 7.836
_cell_length_b 6.984
_cell_length_c 5.592
_cell_angle_alpha 90.00
_cell_angle_beta 90.00
_cell_angle_gamma 90.00
_symmetry_space_group_name_H-M 'P m n 21'
_symmetry_Int_Tables_number 31
loop_
_symmetry_equiv_pos_as_xyz
'x,y,z'
'-x+1/2,-y,z+1/2'
'-x,y,z'
'x+1/2,-y,z+1/2'
loop_
_atom_site_label
_atom_site_fract_x
_atom_site_fract_y
_atom_site_fract_z
Sr1 0.250 0.166 0.000
Ca1 0.000 0.344 0.511
Re1 0.000 0.656 0.045
N1 0.000 0.402 0.945
N2 0.000 0.649 0.373
N3 0.198 0.784 0.961
# E_tot ... -7.1515 eV per atom
# Formation energy without anion corrections ... -6.10 eV per formula unit

=====

# 3
# SrCa2ReN4, optimized geometry, DFT PBE
data_SrCa2ReN4
_cell_length_a 7.634
_cell_length_b 6.616
_cell_length_c 5.749
_cell_angle_alpha 90.00
_cell_angle_beta 90.00
_cell_angle_gamma 90.00
_symmetry_space_group_name_H-M 'P m n 21'
_symmetry_Int_Tables_number 31
loop_
_symmetry_equiv_pos_as_xyz
'x,y,z'
'-x+1/2,-y,z+1/2'
'-x,y,z'
'x+1/2,-y,z+1/2'
loop_
_atom_site_label
_atom_site_fract_x
_atom_site_fract_y
_atom_site_fract_z
Sr1 0.000 0.139 0.000
Ca1 0.244 0.341 0.507
Re1 0.000 0.822 0.530
N1 0.000 0.103 0.476
N2 0.000 0.789 0.850
N3 0.200 0.696 0.417
# E_tot ... -7.2197 eV per atom
# Formation energy without anion corrections ... -6.32 eV per formula unit

=====

# 4
# Ca2TaReN5, optimized geometry, DFT PBE
data_Ca2TaReN5
_cell_length_a 3.272
_cell_length_b 13.190
_cell_length_c 10.931
_cell_angle_alpha 90.00
_cell_angle_beta 90.00
_cell_angle_gamma 90.00
_symmetry_space_group_name_H-M 'C m c 21'
_symmetry_Int_Tables_number 36
loop_
_symmetry_equiv_pos_as_xyz
'x,y,z'
'-x,-y,z+1/2'
'-x,y,z'
'x,-y,z+1/2'
'x+1/2,y+1/2,z'
'-x+1/2,-y+1/2,z+1/2'
'-x+1/2,y+1/2,z'
'x+1/2,-y+1/2,z+1/2'
loop_
_atom_site_label
_atom_site_fract_x
_atom_site_fract_y
_atom_site_fract_z
Ca1 0.000 0.099 0.000
Ca2 0.000 0.156 0.630
Ta1 0.000 0.225 0.353
Re1 0.000 0.471 0.768
N1 0.000 0.047 0.357
N2 0.000 0.278 0.975
N3 0.000 0.320 0.728
N4 0.000 0.370 0.323
N5 0.000 0.490 0.110
# E_tot ... -8.5502 eV per atom
# Formation energy without anion corrections ... -7.02 eV per formula unit

=====

# 5
# Ca2ReTcN4, optimized geometry, DFT PBE
data_Ca2ReTcN4
_cell_length_a 7.106
_cell_length_b 5.805
_cell_length_c 5.587
_cell_angle_alpha 90.00
_cell_angle_beta 90.00
_cell_angle_gamma 90.00
_symmetry_space_group_name_H-M 'P m n 21'
_symmetry_Int_Tables_number 31
loop_
_symmetry_equiv_pos_as_xyz
'x,y,z'
'-x+1/2,-y,z+1/2'
'-x,y,z'
'x+1/2,-y,z+1/2'
loop_
_atom_site_label
_atom_site_fract_x
_atom_site_fract_y
_atom_site_fract_z
Ca1 0.249 0.236 0.000
Re1 0.000 0.777 0.999
Tc1 0.000 0.226 0.499
N1 0.000 0.994 0.251
N2 0.000 0.996 0.750
N3 0.247 0.643 0.998
# E_tot ... -8.0110 eV per atom
# Formation energy without anion corrections ... -3.97 eV per formula unit

=====

# 6
# CaReTcN3, optimized geometry, DFT PBE
data_CaReTcN3
_cell_length_a 9.648
_cell_length_b 6.630
_cell_length_c 6.453
_cell_angle_alpha 90.00
_cell_angle_beta 121.50
_cell_angle_gamma 90.00
_symmetry_space_group_name_H-M 'C 1 2/m 1'
_symmetry_Int_Tables_number 12
loop_
_symmetry_equiv_pos_as_xyz
'x,y,z'
'-x,-y,-z'
'-x,y,-z'
'x,-y,z'
'x+1/2,y+1/2,z'
'-x+1/2,-y+1/2,-z'
'-x+1/2,y+1/2,-z'
'x+1/2,-y+1/2,z'
loop_
_atom_site_label
_atom_site_fract_x
_atom_site_fract_y
_atom_site_fract_z
Ca1 0.209 0.000 0.089
Re1 0.085 0.500 0.279
Tc1 0.000 0.187 0.500
N1 0.055 0.277 0.826
N2 0.189 0.000 0.593
# E_tot ... -8.5593 eV per atom
# Formation energy without anion corrections ... -1.56 eV per formula unit

=====

# 7
# CaThReN4, optimized geometry, DFT PBE
data_CaThReN4
_cell_length_a 5.524
_cell_length_b 12.678
_cell_length_c 5.434
_cell_angle_alpha 90.00
_cell_angle_beta 90.00
_cell_angle_gamma 90.00
_symmetry_space_group_name_H-M 'C m c m'
_symmetry_Int_Tables_number 63
_symmetry_space_group_name_Hall '-C 2c 2'
loop_
_atom_site_label
_atom_site_fract_x
_atom_site_fract_y
_atom_site_fract_z
Ca1 0.000 0.103 0.250
Th1 0.000 0.397 0.250
Re1 0.000 0.236 0.750
N1 0.000 0.083 0.750
N2 0.000 0.425 0.750
N3 0.250 0.250 0.000
# E_tot ... -8.7593 eV per atom
# Formation energy without anion corrections ... -6.14 eV per formula unit

=====

# 8
# CaTm2ReN4, optimized geometry, DFT PBE
data_CaTm2ReN4
_cell_length_a 3.358
_cell_length_b 11.798
_cell_length_c 11.997
_cell_angle_alpha 90.00
_cell_angle_beta 90.00
_cell_angle_gamma 90.00
_symmetry_space_group_name_H-M 'C m c m'
_symmetry_Int_Tables_number 63
_symmetry_space_group_name_Hall '-C 2c 2'
loop_
_atom_site_label
_atom_site_fract_x
_atom_site_fract_y
_atom_site_fract_z
Ca1 0.000 0.065 0.250
Tm1 0.000 0.372 0.041
Re1 0.000 0.188 0.750
N1 0.000 0.000 0.000
N2 0.000 0.261 0.611
N3 0.000 0.413 0.250
# E_tot ... -8.0966 eV per atom
# Formation energy without anion corrections ... -8.08 eV per formula unit

=====

# 9
# Ca2VReN5, optimized geometry, DFT PBE
data_Ca2VReN5
_cell_length_a 3.208
_cell_length_b 13.714
_cell_length_c 10.562
_cell_angle_alpha 90.00
_cell_angle_beta 90.00
_cell_angle_gamma 90.00
_symmetry_space_group_name_H-M 'C m c 21'
_symmetry_Int_Tables_number 36
loop_
_symmetry_equiv_pos_as_xyz
'x,y,z'
'-x,-y,z+1/2'
'-x,y,z'
'x,-y,z+1/2'
'x+1/2,y+1/2,z'
'-x+1/2,-y+1/2,z+1/2'
'-x+1/2,y+1/2,z'
'x+1/2,-y+1/2,z+1/2'
loop_
_atom_site_label
_atom_site_fract_x
_atom_site_fract_y
_atom_site_fract_z
Ca1 0.000 0.097 0.000
Ca2 0.000 0.135 0.642
V1 0.000 0.441 0.766
Re1 0.000 0.222 0.363
N1 0.000 0.047 0.355
N2 0.000 0.288 0.979
N3 0.000 0.309 0.729
N4 0.000 0.351 0.333
N5 0.000 0.499 0.621
# E_tot ... -8.1577 eV per atom
# Formation energy without anion corrections ... -6.22 eV per formula unit

=====

# 10
# Ca2ReWN5, optimized geometry, DFT PBE
data_Ca2ReWN5
_cell_length_a 3.216
_cell_length_b 13.093
_cell_length_c 10.930
_cell_angle_alpha 90.00
_cell_angle_beta 90.00
_cell_angle_gamma 90.00
_symmetry_space_group_name_H-M 'C m c 21'
_symmetry_Int_Tables_number 36
loop_
_symmetry_equiv_pos_as_xyz
'x,y,z'
'-x,-y,z+1/2'
'-x,y,z'
'x,-y,z+1/2'
'x+1/2,y+1/2,z'
'-x+1/2,-y+1/2,z+1/2'
'-x+1/2,y+1/2,z'
'x+1/2,-y+1/2,z+1/2'
loop_
_atom_site_label
_atom_site_fract_x
_atom_site_fract_y
_atom_site_fract_z
Ca1 0.000 0.097 0.000
Ca2 0.000 0.154 0.612
Re1 0.000 0.472 0.766
W1 0.000 0.230 0.341
N1 0.000 0.050 0.357
N2 0.000 0.274 0.961
N3 0.000 0.316 0.719
N4 0.000 0.369 0.313
N5 0.000 0.490 0.105
# E_tot ... -8.4870 eV per atom
# Formation energy without anion corrections ... -5.35 eV per formula unit